(1)
Compound: Nd3ZnHg3
Source: the Alexandria database
Functional: PBE
Structure: optimized geometry

a = 7.2711 Å, b = 7.2713 Å, c = 7.3578 Å
α = 90.94°, β = 90.95°, γ = 88.48°
Atoms (fractional coordinates):
Nd 0.0809 0.0809 0.7679
Nd 0.4345 0.0551 0.2462
Nd 0.0551 0.4345 0.2462
Nd 0.5655 0.9449 0.7538
Nd 0.9449 0.5655 0.7538
Nd 0.9191 0.9191 0.2321
Zn 0.3599 0.3599 0.9465
Zn 0.6401 0.6401 0.0535
Hg 0.3543 0.3543 0.5720
Hg 0.2391 0.7609 0.5000
Hg 0.7609 0.2391 0.5000
Hg 0.2658 0.7342 0.0000
Hg 0.7342 0.2658 0.0000
Hg 0.6457 0.6457 0.4280

Computed properties:
Size of the total moment   0.0000 μB/atom
Calculated formation energy   -0.309 eV per atom
Raw total energy   -2.664 eV/atom

***

(2)
Compound: Nd2Zn7Hg
Source: the Alexandria database
Functional: PBE
Structure: optimized geometry

a = 4.3288 Å, b = 4.3288 Å, c = 10.6235 Å
α = 90.00°, β = 90.00°, γ = 90.00°
Atoms (fractional coordinates):
Nd 0.5000 0.0000 0.7387
Nd 0.0000 0.5000 0.2613
Zn 0.0000 0.5000 0.8528
Zn 0.5000 0.0000 0.3757
Zn 0.5000 0.0000 0.1472
Zn 0.0000 0.5000 0.6243
Zn 0.0000 0.0000 0.5000
Zn 0.0000 0.0000 0.0000
Zn 0.5000 0.5000 0.5000
Hg 0.5000 0.5000 0.0000

Computed properties:
Size of the total moment   0.0000 μB/atom
Calculated formation energy   -0.296 eV per atom
Raw total energy   -2.171 eV/atom

***

(3)
Compound: Nd8ZnHg2
Source: the Alexandria database
Functional: PBE
Structure: optimized geometry

a = 5.3500 Å, b = 7.0776 Å, c = 9.7963 Å
α = 106.51°, β = 105.85°, γ = 90.00°
Atoms (fractional coordinates):
Nd 0.4094 0.5388 0.8188
Nd 0.6626 0.9825 0.3252
Nd 0.8005 0.6849 0.6011
Nd 0.9828 0.2252 0.9657
Nd 0.1995 0.3151 0.3989
Nd 0.3374 0.0175 0.6748
Nd 0.5906 0.4612 0.1812
Nd 0.0172 0.7748 0.0343
Zn 0.5000 0.0000 0.0000
Hg 0.8223 0.2696 0.6445
Hg 0.1777 0.7304 0.3555

Computed properties:
Size of the total moment   0.0000 μB/atom
Polymorph energy (0 for the lowest one)   0.20 eV per formula unit
Calculated formation energy   -0.192 eV per atom
Raw total energy   -3.831 eV/atom